(1)
## Ac12Cu2Pb5 (PBE)

Data for Ac12Cu2Pb5 after structural relaxation.

Cell: 19.1328 8.2028 10.5030 Å, 90.00 104.47 90.00°
Space group C2/m (No. 12)
Unique sites:
Ac: 0.0038 0.0000 0.2716 (multiplicity 4)
Ac: 0.0052 0.5000 0.8265 (multiplicity 4)
Ac: 0.1493 0.2565 0.5777 (multiplicity 8)
Ac: 0.1571 0.2460 0.0852 (multiplicity 8)
Cu: 0.0000 0.1540 0.0000 (multiplicity 4)
Pb: 0.0000 0.5000 0.5000 (multiplicity 2)
Pb: 0.1889 0.0000 0.8390 (multiplicity 4)
Pb: 0.1976 0.0000 0.3613 (multiplicity 4)

volume = 1596.1 Å³/cell
raw total energy = -4.21 eV/atom
DOS(E_F) = 41.54 states/eV/cell
total moment = 0.001 μB per formula unit
energy of formation = -204 meV/atom
crystal system = monoclinic



(2)
## Fe2Tc (PBE)

Data for Fe2Tc after structural relaxation.

Cell: 6.5967 6.5967 6.5967 Å, 90.00 90.00 90.00°
Space group Fd-3m (No. 227, origin choice 2)
Unique sites:
Fe: 0.0000 0.0000 0.0000 (multiplicity 16)
Tc: 0.1250 0.1250 0.6250 (multiplicity 8)

volume = 287.1 Å³/cell
energy above the most stable polymorph in this dataset = 0 meV/atom
raw total energy = -9.08 eV/atom
DOS(E_F) = 24.96 states/eV/cell
total moment = 2.594 μB per formula unit
energy of formation = 20 meV/atom
crystal system = cubic



(3)
## TmBeGa (PBE)

Data for TmBeGa after structural relaxation.

Cell: 6.0350 6.0350 6.0350 Å, 90.00 90.00 90.00°
Space group F-43m (No. 216)
Unique sites:
Tm: 0.0000 0.0000 0.0000 (multiplicity 4)
Be: 0.2500 0.2500 0.7500 (multiplicity 4)
Ga: 0.0000 0.0000 0.5000 (multiplicity 4)

volume = 219.8 Å³/cell
energy above the most stable polymorph in this dataset = 136 meV/atom
raw total energy = -4.03 eV/atom
DOS(E_F) = 4.44 states/eV/cell
total moment = 0.000 μB per formula unit
energy of formation = -285 meV/atom
crystal system = cubic



(4)
## CaTiNb2 (PBE)

Data for CaTiNb2 after structural relaxation.

Cell: 6.8542 6.8542 6.8542 Å, 90.00 90.00 90.00°
Space group Fm-3m (No. 225)
Unique sites:
Ca: 0.0000 0.0000 0.0000 (multiplicity 4)
Ti: 0.0000 0.0000 0.5000 (multiplicity 4)
Nb: 0.2500 0.2500 0.2500 (multiplicity 8)

volume = 322.0 Å³/cell
energy above the most stable polymorph in this dataset = 0 meV/atom
raw total energy = -6.83 eV/atom
DOS(E_F) = 24.79 states/eV/cell
total moment = 0.000 μB per formula unit
energy of formation = 682 meV/atom
crystal system = cubic



(5)
## SmY3Te6 (PBE)

Data for SmY3Te6 after structural relaxation.

Cell: 12.5065 4.3765 12.8473 Å, 90.00 109.34 90.00°
Space group P2_1/m (No. 11)
Unique sites:
Sm: 0.0457 0.2500 0.1958 (multiplicity 2)
Y: 0.1555 0.2500 0.5809 (multiplicity 2)
Y: 0.3167 0.7500 0.9981 (multiplicity 2)
Y: 0.4328 0.2500 0.3341 (multiplicity 2)
Te: 0.0845 0.7500 0.4008 (multiplicity 2)
Te: 0.1127 0.2500 0.9676 (multiplicity 2)
Te: 0.1930 0.7500 0.7503 (multiplicity 2)
Te: 0.2542 0.7500 0.2210 (multiplicity 2)
Te: 0.3925 0.2500 0.5610 (multiplicity 2)
Te: 0.4832 0.2500 0.1176 (multiplicity 2)

volume = 663.5 Å³/cell
energy above the most stable polymorph in this dataset = 0 meV/atom
raw total energy = -5.71 eV/atom
total moment = 0.000 μB per formula unit
raw formation energy = -1.411 eV per atom
crystal system = monoclinic